Record 1
! Tl2NiTe (meta-GGA SCAN, single point on PBEsol structure); values from VASP
&SYSTEM
  ibrav = 0, nat = 8, ntyp = 3
/
ATOMIC_SPECIES
Tl 204.38 Tl.upf
Ni 58.69 Ni.upf
Te 127.60 Te.upf
CELL_PARAMETERS angstrom
4.1457 0.0000 0.0000
0.0000 4.1457 0.0000
0.0000 0.0000 10.9537
ATOMIC_POSITIONS crystal
Tl 0.0000 0.5000 0.2500
Tl 0.0000 0.5000 0.7500
Tl 0.5000 0.0000 0.2500
Tl 0.5000 0.0000 0.7500
Ni 0.0000 0.0000 0.0000
Ni 0.5000 0.5000 0.5000
Te 0.0000 0.0000 0.5000
Te 0.5000 0.5000 0.0000
! **SG**: I4/mmm (139)
! **Volume**: 188 Å³ per cell
! **E above lowest polymorph**: 11 meV per atom
! **Formation energy from raw total energies**: 326 meV per atom

***

Record 2
! Mg3Sc (meta-GGA SCAN, single point on PBEsol structure); values from VASP
&SYSTEM
  ibrav = 0, nat = 4, ntyp = 2
/
ATOMIC_SPECIES
Mg 24.30 Mg.upf
Sc 44.96 Sc.upf
CELL_PARAMETERS angstrom
5.9067 0.0000 0.0000
0.0000 5.9067 0.0000
0.0000 0.0000 5.9067
ATOMIC_POSITIONS crystal
Mg 0.0000 0.0000 0.5000
Mg 0.0000 0.5000 0.0000
Mg 0.5000 0.0000 0.0000
Sc 0.0000 0.0000 0.0000
! **SG**: Pm-3m (221)
! **Volume**: 206 Å³ per cell
! **ΔH_f (0 K)**: 1267 meV per atom

***

Repeat the first record exactly.
! Tl2NiTe (meta-GGA SCAN, single point on PBEsol structure); values from VASP
&SYSTEM
  ibrav = 0, nat = 8, ntyp = 3
/
ATOMIC_SPECIES
Tl 204.38 Tl.upf
Ni 58.69 Ni.upf
Te 127.60 Te.upf
CELL_PARAMETERS angstrom
4.1457 0.0000 0.0000
0.0000 4.1457 0.0000
0.0000 0.0000 10.9537
ATOMIC_POSITIONS crystal
Tl 0.0000 0.5000 0.2500
Tl 0.0000 0.5000 0.7500
Tl 0.5000 0.0000 0.2500
Tl 0.5000 0.0000 0.7500
Ni 0.0000 0.0000 0.0000
Ni 0.5000 0.5000 0.5000
Te 0.0000 0.0000 0.5000
Te 0.5000 0.5000 0.0000
! **SG**: I4/mmm (139)
! **Volume**: 188 Å³ per cell
! **E above lowest polymorph**: 11 meV per atom
! **Formation energy from raw total energies**: 326 meV per atom

***

Question: What is the formula in the second record?
Answer: Mg3Sc

***

Question: What is the formula in the second record?
Answer: Mg3Sc

***

Question: What is the volume in the second record?
Answer: 206 Å³ per cell